Record 1
Entry from the Alexandria database: a relaxed structure of Rb2MoRu (PBE-GGA).

It has space group Fm-3m (No. 225), with a = 8.306 Å, b = 8.306 Å, c = 8.306 Å, α = 90.00°, β = 90.00° and γ = 90.00°. The distinct sites, in fractional coordinates, are Rb at (0.250, 0.250, 0.250), Mo at (0.000, 0.000, 0.000) and Ru at (0.000, 0.000, 0.500).

The calculation puts the distance to the lowest polymorph of the same formula at 851 meV per atom. The calculation puts the total DFT energy (no corrections) at -3.2442 eV per atom.

Record 2
Entry from the Alexandria database: a relaxed structure of RbMoRu3 (PBE-GGA).

It has space group Pm-3m (No. 221), with a = 4.831 Å, b = 4.831 Å, c = 4.831 Å, α = 90.00°, β = 90.00° and γ = 90.00°. The distinct sites, in fractional coordinates, are Rb at (0.000, 0.000, 0.000), Mo at (0.500, 0.500, 0.500) and Ru at (0.000, 0.500, 0.500).

The calculation puts the distance to the lowest polymorph of the same formula at 0 meV per atom. The calculation puts the total DFT energy (no corrections) at -6.3974 eV per atom.

Record 3
Entry from the Alexandria database: a relaxed structure of Rb2MoRuS (PBE-GGA).

It has space group P4/mmm (No. 123), with a = 7.003 Å, b = 7.003 Å, c = 4.494 Å, α = 90.00°, β = 90.00° and γ = 90.00°. The distinct sites, in fractional coordinates, are Rb at (0.000, 0.500, 0.000), Mo at (0.000, 0.000, 0.000), Ru at (0.500, 0.500, 0.500) and S at (0.000, 0.000, 0.500).

Its formation energy (no corrections) is 1.302 eV per atom. The calculation puts the total DFT energy (no corrections) at -3.9321 eV per atom.